1.
Compound: Zn2ReNi
Source: the Alexandria database
Functional: GGA-PBE
Structure: optimized geometry

a = 5.141 Å, b = 5.141 Å, c = 5.141 Å
α = 149.65°, β = 128.03°, γ = 61.37°
Sites, in units of the cell vectors:
Ni1 0.750 0.250 0.500
Re1 0.250 0.750 0.500
Zn1 0.983 0.983 0.000
Zn2 0.517 0.517 0.000

Calculated values
E_tot (eV/atom): -5.06
ρ (g cm⁻³): 11.64
Symmetry: Immm (71)



2.
Compound: Zn2ReNi
Source: the Alexandria database
Functional: GGA-PBE
Structure: optimized geometry

a = 4.952 Å, b = 5.035 Å, c = 2.570 Å
α = 79.05°, β = 82.38°, γ = 117.25°
Sites, in units of the cell vectors:
Ni1 0.000 0.500 0.500
Re1 0.500 0.500 0.000
Zn1 0.000 0.000 0.000
Zn2 0.500 0.000 0.500

Calculated values
E_tot (eV/atom): -5.08
ρ (g cm⁻³): 11.53
Symmetry: C2/m (12)



It is found that the size of the total moment values, taken in the order of the records, are 0.00; 0.00 μB per cell.